[1]
The following is a DFT calculation (PBE-GGA) of an optimized crystal structure of Rb2As2W.

Cell lengths 8.6220, 8.6220, 8.6220 Å; angles 127.07, 69.94, 137.74 degrees
Closest atoms and distances in Å follow each position.
Fractional positions:
Rb (0.1514, 0.1566, 0.3080)  5 As 3.45-3.76, 2 W 3.74
Rb (0.3486, 0.6566, 0.0052)  5 As 3.45-3.76, 2 W 3.74
Rb (0.6514, 0.3434, 0.9948)  5 As 3.45-3.76, 2 W 3.74
Rb (0.8486, 0.8434, 0.6920)  5 As 3.45-3.76, 2 W 3.74
As (0.0963, 0.6774, 0.7736)  2 W 2.47
As (0.4037, 0.1774, 0.5811)  2 W 2.47
As (0.5963, 0.8226, 0.4189)  2 W 2.47
As (0.9037, 0.3226, 0.2264)  2 W 2.47
W (0.2500, 0.7500, 0.5000)  4 As 2.47
W (0.7500, 0.2500, 0.5000)  4 As 2.47

E, eV/atom: -5.109
Size of the total moment, μB/f.u.: 0.00
Distance to the lowest polymorph of the same formula, kJ per mole of atoms: 0.00


[2]
The following is a DFT calculation (PBE-GGA) of an optimized crystal structure of Rb4Zn7As7.

Cell lengths 12.7645, 12.7645, 17.8384 Å; angles 90.00, 90.00, 161.36 degrees
Closest atoms and distances in Å follow each position.
Fractional positions:
Rb (0.0000, 0.0000, 0.0000)  8 As 3.56-3.88
Rb (0.0000, 0.0000, 0.5000)  8 As 3.56-3.88
Rb (0.1387, 0.8613, 0.6158)  6 As 3.44-3.64, 1 Zn 3.85
Rb (0.1387, 0.8613, 0.8842)  6 As 3.44-3.64, 1 Zn 3.85
Rb (0.2820, 0.7180, 0.7500)  6 As 3.39-3.42, 4 Zn 3.78
Rb (0.7180, 0.2820, 0.2500)  6 As 3.39-3.42, 4 Zn 3.78
Rb (0.8613, 0.1387, 0.1158)  6 As 3.44-3.64, 1 Zn 3.85
Rb (0.8613, 0.1387, 0.3842)  6 As 3.44-3.64, 1 Zn 3.85
Zn (0.0121, 0.9879, 0.2500)  5 As 2.50-2.63
Zn (0.1512, 0.8488, 0.0994)  3 As 2.55
Zn (0.1512, 0.8488, 0.4006)  3 As 2.55
Zn (0.2818, 0.7182, 0.5338)  4 As 2.57-2.68, 2 Zn 2.88
Zn (0.2818, 0.7182, 0.9662)  4 As 2.57-2.68, 2 Zn 2.88
Zn (0.4260, 0.5740, 0.6641)  4 As 2.46-2.74
Zn (0.4260, 0.5740, 0.8359)  4 As 2.46-2.74
Zn (0.5740, 0.4260, 0.1641)  4 As 2.46-2.74
Zn (0.5740, 0.4260, 0.3359)  4 As 2.46-2.74
Zn (0.7182, 0.2818, 0.0338)  4 As 2.57-2.68, 2 Zn 2.88
Zn (0.7182, 0.2818, 0.4662)  4 As 2.57-2.68, 2 Zn 2.88
Zn (0.8488, 0.1512, 0.5994)  3 As 2.55
Zn (0.8488, 0.1512, 0.9006)  3 As 2.55
Zn (0.9879, 0.0121, 0.7500)  5 As 2.50-2.63
As (0.1114, 0.8886, 0.2500)  5 Zn 2.50-2.74
As (0.2524, 0.7476, 0.1051)  4 Zn 2.55-2.59
As (0.2524, 0.7476, 0.3949)  4 Zn 2.55-2.59
As (0.3880, 0.6120, 0.5370)  4 Zn 2.46-2.68
As (0.3880, 0.6120, 0.9630)  4 Zn 2.46-2.68
As (0.4713, 0.5287, 0.1794)  1 As 2.52, 3 Zn 2.60-2.63
As (0.4713, 0.5287, 0.3206)  1 As 2.52, 3 Zn 2.60-2.63
As (0.5287, 0.4713, 0.6794)  1 As 2.52, 3 Zn 2.60-2.63
As (0.5287, 0.4713, 0.8206)  1 As 2.52, 3 Zn 2.60-2.63
As (0.6120, 0.3880, 0.0370)  4 Zn 2.46-2.68
As (0.6120, 0.3880, 0.4630)  4 Zn 2.46-2.68
As (0.7476, 0.2524, 0.6051)  4 Zn 2.55-2.59
As (0.7476, 0.2524, 0.8949)  4 Zn 2.55-2.59
As (0.8886, 0.1114, 0.7500)  5 Zn 2.50-2.74

E, eV/atom: -2.873


[3]
The following is a DFT calculation (PBE-GGA) of an optimized crystal structure of Rb2ZnAs2.

Cell lengths 8.5945, 8.5945, 8.5945 Å; angles 129.03, 69.83, 135.65 degrees
Closest atoms and distances in Å follow each position.
Fractional positions:
Rb (0.1458, 0.1686, 0.3144)  6 As 3.50-3.82, 2 Zn 3.59
Rb (0.3542, 0.6686, 0.0228)  6 As 3.50-3.82, 2 Zn 3.59
Rb (0.6458, 0.3314, 0.9772)  6 As 3.50-3.82, 2 Zn 3.59
Rb (0.8542, 0.8314, 0.6856)  6 As 3.50-3.82, 2 Zn 3.59
Zn (0.2500, 0.7500, 0.5000)  4 As 2.51
Zn (0.7500, 0.2500, 0.5000)  4 As 2.51
As (0.0988, 0.6774, 0.7763)  2 Zn 2.51
As (0.4012, 0.1774, 0.5786)  2 Zn 2.51
As (0.5988, 0.8226, 0.4214)  2 Zn 2.51
As (0.9012, 0.3226, 0.2237)  2 Zn 2.51

E, eV/atom: -2.705